Entry 1:
The following is a PBE-GGA calculation of a geometry-optimized TlZnP2 structure, from Alexandria.

Calculated values
ΔE_f = 187 meV/atom
Excess energy over the best structure of this formula in the dataset = 80.1 meV per atom
Magnetization = 0.000 μB/atom
N(E_F) = 0.31 states/eV/atom
E_tot = -3.428 eV/atom

abc: 3.500 3.500 6.793
angles: 90.00 90.00 90.00
Space group P4/mmm (No. 123)
Asymmetric unit:
Tl 0.000 0.000 0.000 (multiplicity 1)
Zn 0.000 0.000 0.500 (multiplicity 1)
P 0.500 0.500 0.341 (multiplicity 2)

=====

Entry 2:
The following is a PBE-GGA calculation of a geometry-optimized ThZrCSe structure, from Alexandria.

Calculated values
ΔE_f (raw) = -1.056 eV per atom
Magnetization = 0.000 μB/atom
N(E_F) = 0.23 states/eV/atom
E_tot = -8.225 eV/atom

abc: 3.6262 3.6262 20.6000
angles: 90.00 90.00 120.00
Space group R3m (No. 160, hexagonal axes)
Asymmetric unit:
Th 0.0000 0.0000 0.0000 (multiplicity 3)
Zr 0.0000 0.0000 0.7981 (multiplicity 3)
C 0.0000 0.0000 0.4094 (multiplicity 3)
Se 0.0000 0.0000 0.2227 (multiplicity 3)

=====

Entry 3:
The following is a PBE-GGA calculation of a geometry-optimized Ce2AlGa3Ir4 structure, from Alexandria.

Calculated values
ΔE_f = -734 meV/atom
Magnetization = 0.137 μB/atom
N(E_F) = 1.23 states/eV/atom
E_tot = -6.748 eV/atom

abc: 4.235 4.235 10.391
angles: 90.00 90.00 90.00
Space group P-4m2 (No. 115)
Asymmetric unit:
Ce 0.000 0.500 0.239 (multiplicity 2)
Al 0.000 0.000 0.500 (multiplicity 1)
Ga 0.000 0.500 0.872 (multiplicity 2)
Ga 0.500 0.500 0.500 (multiplicity 1)
Ir 0.000 0.000 0.000 (multiplicity 1)
Ir 0.000 0.500 0.634 (multiplicity 2)
Ir 0.500 0.500 0.000 (multiplicity 1)

=====

Entry 4:
The following is a PBE-GGA calculation of a geometry-optimized Er8BiIr2 structure, from Alexandria.

Calculated values
ΔE_f = -505 meV/atom
Magnetization = 0.004 μB/atom
N(E_F) = 1.11 states/eV/atom
E_tot = -5.788 eV/atom

abc: 8.641 13.011 5.565
angles: 90.00 102.91 90.00
Space group C2/m (No. 12)
Asymmetric unit:
Er 0.000 0.250 0.000 (multiplicity 4)
Er 0.105 0.000 0.791 (multiplicity 4)
Er 0.204 0.368 0.590 (multiplicity 8)
Bi 0.000 0.500 0.000 (multiplicity 2)
Ir 0.000 0.190 0.500 (multiplicity 4)

=====

What is the formula in the second record?
ThZrCSe

=====

Repeat the first record exactly.
The following is a PBE-GGA calculation of a geometry-optimized TlZnP2 structure, from Alexandria.

Calculated values
ΔE_f = 187 meV/atom
Excess energy over the best structure of this formula in the dataset = 80.1 meV per atom
Magnetization = 0.000 μB/atom
N(E_F) = 0.31 states/eV/atom
E_tot = -3.428 eV/atom

abc: 3.500 3.500 6.793
angles: 90.00 90.00 90.00
Space group P4/mmm (No. 123)
Asymmetric unit:
Tl 0.000 0.000 0.000 (multiplicity 1)
Zn 0.000 0.000 0.500 (multiplicity 1)
P 0.500 0.500 0.341 (multiplicity 2)